## i
VASP calculation (GGA-PBE) on a relaxed CaReH crystal.

Summary:
Space-group type: No. 11

Lattice parameters (Å, degrees): 5.1477 3.7386 5.9065 90.00 109.56 90.00
Atoms (fractional coordinates):
Ca1 0.6273 0.2500 0.2688
Ca2 0.3727 0.7500 0.7312
Re1 0.9452 0.2500 0.8682
Re2 0.0548 0.7500 0.1318
H1 0.6071 0.2500 0.6618
H2 0.3929 0.7500 0.3382

## ii
VASP calculation (GGA-PBE) on a relaxed CaReH crystal.

Summary:
Space-group type: No. 40

Lattice parameters (Å, degrees): 3.7960 11.2210 5.0506 90.00 90.00 90.00
Atoms (fractional coordinates):
Ca1 0.2500 0.1360 0.5025
Ca2 0.7500 0.8640 0.5025
Ca3 0.2500 0.6360 0.0025
Ca4 0.7500 0.3640 0.0025
Re1 0.2500 0.4366 0.5062
Re2 0.7500 0.5634 0.5062
Re3 0.2500 0.9366 0.0062
Re4 0.7500 0.0634 0.0062
H1 0.2500 0.3261 0.2569
H2 0.7500 0.6739 0.2569
H3 0.2500 0.8261 0.7569
H4 0.7500 0.1739 0.7569

i comes first in stability; the runner-up is 17 meV per atom higher.

## i
VASP calculation (GGA-PBE) on a relaxed CaReH crystal.

Summary:
Space-group type: No. 1

Lattice parameters (Å, degrees): 4.1745 4.2352 8.3444 90.01 104.60 119.55
Atoms (fractional coordinates):
Ca1 0.6118 0.8550 0.7868
Ca2 0.9851 0.0543 0.3357
Re1 0.1593 0.6429 0.0885
Re2 0.4524 0.2868 0.0310
H1 0.2991 0.2035 0.8109
H2 0.9474 0.1378 0.0557

## ii
VASP calculation (GGA-PBE) on a relaxed CaReH crystal.

Summary:
Space-group type: No. 166

Lattice parameters (Å, degrees): 4.1625 4.1625 24.4823 90.00 90.00 120.00
Atoms (fractional coordinates):
Ca1 0.0000 0.0000 0.0895
Ca2 0.0000 0.0000 0.9105
Ca3 0.3333 0.6667 0.7562
Ca4 0.3333 0.6667 0.5771
Ca5 0.6667 0.3333 0.4229
Ca6 0.6667 0.3333 0.2438
Re1 0.0000 0.0000 0.3211
Re2 0.0000 0.0000 0.6789
Re3 0.3333 0.6667 0.9878
Re4 0.3333 0.6667 0.3455
Re5 0.6667 0.3333 0.6545
Re6 0.6667 0.3333 0.0122
H1 0.0000 0.0000 0.7501
H2 0.0000 0.0000 0.2499
H3 0.3333 0.6667 0.4168
H4 0.3333 0.6667 0.9165
H5 0.6667 0.3333 0.0835
H6 0.6667 0.3333 0.5832

ii comes first in stability; the runner-up is 83 meV per atom higher.

## i
VASP calculation (GGA-PBE) on a relaxed Ca2ReH crystal.

Summary:
Space-group type: No. 122

Lattice parameters (Å, degrees): 6.7942 6.7942 5.9667 55.30 55.30 90.00
Site moments in Bohr magnetons follow the coordinates.
Atoms (fractional coordinates):
Re1 0.0000 0.0000 0.0000  2.02
Re2 0.7500 0.2500 0.5000  2.02
Ca1 0.5324 0.1250 0.2500  -0.02
Ca2 0.2176 0.6250 0.2500  -0.02
Ca3 0.3750 0.4676 0.7500  -0.02
Ca4 0.8750 0.7824 0.7500  -0.02
H1 0.5000 0.5000 0.0000  0.01
H2 0.2500 0.7500 0.5000  0.01

## ii
VASP calculation (GGA-PBE) on a relaxed Ca2ReH crystal.

Summary:
Space-group type: No. 225

Lattice parameters (Å, degrees): 4.9616 4.9616 4.9616 60.00 60.00 60.00
Site moments in Bohr magnetons follow the coordinates.
Atoms (fractional coordinates):
Re1 0.5000 0.5000 0.5000  1.71
Ca1 0.2500 0.2500 0.2500  -0.01
Ca2 0.7500 0.7500 0.7500  -0.01
H1 0.0000 0.0000 0.0000  0.02

i comes first in stability; the runner-up is 276 meV per atom higher.

## i
VASP calculation (GGA-PBE) on a relaxed Ca3ReH crystal.

Summary:
Space-group type: No. 221

Lattice parameters (Å, degrees): 4.7026 4.7026 4.7026 90.00 90.00 90.00
Atoms (fractional coordinates):
Re1 0.5000 0.5000 0.5000
Ca1 0.0000 0.5000 0.0000
Ca2 0.0000 0.0000 0.5000
Ca3 0.5000 0.0000 0.0000
H1 0.0000 0.0000 0.0000

## ii
VASP calculation (GGA-PBE) on a relaxed Ca3ReH crystal.

Summary:
Space-group type: No. 221

Lattice parameters (Å, degrees): 5.4776 5.4776 5.4776 90.00 90.00 90.00
Atoms (fractional coordinates):
Re1 0.0000 0.0000 0.0000
Ca1 0.0000 0.5000 0.0000
Ca2 0.0000 0.0000 0.5000
Ca3 0.5000 0.0000 0.0000
H1 0.5000 0.5000 0.5000

i comes first in stability; the runner-up is 559 meV per atom higher.

## i
VASP calculation (GGA-PBE) on a relaxed CaRe2H crystal.

Summary:
Space-group type: No. 141

Lattice parameters (Å, degrees): 5.6313 5.6313 5.6365 60.03 60.03 90.00
Atoms (fractional coordinates):
Re1 0.3751 0.1250 0.2500
Re2 0.3749 0.6250 0.2500
Re3 0.3750 0.6249 0.7500
Re4 0.8750 0.6251 0.7500
Ca1 0.0000 0.0000 0.0000
Ca2 0.7500 0.2500 0.5000
H1 0.5000 0.5000 0.0000
H2 0.2500 0.7500 0.5000

## ii
VASP calculation (GGA-PBE) on a relaxed CaRe2H crystal.

Summary:
Space-group type: No. 225

Lattice parameters (Å, degrees): 4.4148 4.4148 4.4148 60.00 60.00 60.00
Site moments in Bohr magnetons follow the coordinates.
Atoms (fractional coordinates):
Re1 0.2500 0.2500 0.2500  0.66
Re2 0.7500 0.7500 0.7500  0.66
Ca1 0.5000 0.5000 0.5000  0.06
H1 0.0000 0.0000 0.0000  -0.01

i comes first in stability; the runner-up is 1684 meV per atom higher.

## i
VASP calculation (GGA-PBE) on a relaxed Ca3HRh crystal.

Summary:
Space-group type: No. 10

Lattice parameters (Å, degrees): 3.6177 8.1147 8.1324 71.81 90.00 90.00
Atoms (fractional coordinates):
Ca1 0.8635 0.3882 0.8076
Ca2 0.8636 0.0001 0.6854
Ca3 0.8631 0.6320 0.0529
Ca4 0.3632 0.0305 0.0824
Ca5 0.8629 0.7563 0.4400
Ca6 0.3632 0.3578 0.4106
H1 0.3630 0.6941 0.2465
H2 0.3635 0.1941 0.7465
Rh1 0.3631 0.6942 0.7463
Rh2 0.8631 0.1943 0.2462

## ii
VASP calculation (GGA-PBE) on a relaxed Ca3HRh crystal.

Summary:
Space-group type: No. 221

Lattice parameters (Å, degrees): 4.7333 4.7333 4.7333 90.00 90.00 90.00
Atoms (fractional coordinates):
H1 0.0000 0.0000 0.0000
Ca1 0.0000 0.5000 0.0000
Ca2 0.0000 0.0000 0.5000
Ca3 0.5000 0.0000 0.0000
Rh1 0.5000 0.5000 0.5000

i comes first in stability; the runner-up is 44 meV per atom higher.

## i
VASP calculation (GGA-PBE) on a relaxed CaH2Rh crystal.

Summary:
Space-group type: No. 225

Lattice parameters (Å, degrees): 4.0241 4.0241 4.0241 60.00 60.00 60.00
Atoms (fractional coordinates):
H1 0.2500 0.2500 0.2500
H2 0.7500 0.7500 0.7500
Ca1 0.0000 0.0000 0.0000
Rh1 0.5000 0.5000 0.5000

## ii
VASP calculation (GGA-PBE) on a relaxed CaH2Rh crystal.

Summary:
Space-group type: No. 122

Lattice parameters (Å, degrees): 4.3542 4.3542 6.0314 68.84 68.84 90.00
Atoms (fractional coordinates):
H1 0.7682 0.1250 0.2500
H2 0.9818 0.6250 0.2500
H3 0.3750 0.2318 0.7500
H4 0.8750 0.0182 0.7500
Ca1 0.5000 0.5000 0.0000
Ca2 0.2500 0.7500 0.5000
Rh1 0.0000 0.0000 0.0000
Rh2 0.7500 0.2500 0.5000

## iii
VASP calculation (GGA-PBE) on a relaxed CaH2Rh crystal.

Summary:
Space-group type: No. 166

Lattice parameters (Å, degrees): 3.3011 3.3011 5.0926 71.09 71.09 60.00
Atoms (fractional coordinates):
H1 0.2143 0.2143 0.3571
H2 0.7857 0.7857 0.6429
Ca1 0.0000 0.0000 0.0000
Rh1 0.5000 0.5000 0.5000

ii comes first in stability; the runner-up is 186 meV per atom higher.

## i
VASP calculation (GGA-PBE) on a relaxed CaHRh3 crystal.

Summary:
Space-group type: No. 221

Lattice parameters (Å, degrees): 4.0699 4.0699 4.0699 90.00 90.00 90.00
Atoms (fractional coordinates):
H1 0.0000 0.0000 0.0000
Ca1 0.5000 0.5000 0.5000
Rh1 0.0000 0.5000 0.0000
Rh2 0.0000 0.0000 0.5000
Rh3 0.5000 0.0000 0.0000

## ii
VASP calculation (GGA-PBE) on a relaxed CaHRh3 crystal.

Summary:
Space-group type: No. 221

Lattice parameters (Å, degrees): 4.8803 4.8803 4.8803 90.00 90.00 90.00
Site moments in Bohr magnetons follow the coordinates.
Atoms (fractional coordinates):
H1 0.5000 0.5000 0.5000  0.17
Ca1 0.0000 0.0000 0.0000  -0.07
Rh1 0.0000 0.5000 0.0000  1.06
Rh2 0.0000 0.0000 0.5000  1.05
Rh3 0.5000 0.0000 0.0000  0.85

i comes first in stability; the runner-up is 2306 meV per atom higher.

## i
VASP calculation (GGA-PBE) on a relaxed CaHRhSe2 crystal.

Summary:
Space-group type: No. 123

Lattice parameters (Å, degrees): 5.0600 5.0600 3.5097 90.00 90.00 90.00
Atoms (fractional coordinates):
H1 0.0000 0.0000 0.5000
Ca1 0.5000 0.5000 0.5000
Rh1 0.0000 0.0000 0.0000
Se1 0.0000 0.5000 0.0000
Se2 0.5000 0.0000 0.0000

## ii
VASP calculation (GGA-PBE) on a relaxed CaHRhSe2 crystal.

Summary:
Space-group type: No. 123

Lattice parameters (Å, degrees): 4.8717 3.4576 4.8717 90.00 90.00 90.00
Atoms (fractional coordinates):
H1 0.0000 0.0000 0.0000
Ca1 0.5000 0.5000 0.5000
Rh1 0.0000 0.5000 0.0000
Se1 0.0000 0.0000 0.5000
Se2 0.5000 0.0000 0.0000

i comes first in stability; the runner-up is 200 meV per atom higher.

## i
VASP calculation (GGA-PBE) on a relaxed Ca2HRhSe crystal.

Summary:
Space-group type: No. 123

Lattice parameters (Å, degrees): 5.3143 5.3143 3.5692 90.00 90.00 90.00
Atoms (fractional coordinates):
H1 0.0000 0.0000 0.5000
Ca1 0.0000 0.5000 0.0000
Ca2 0.5000 0.0000 0.0000
Rh1 0.0000 0.0000 0.0000
Se1 0.5000 0.5000 0.5000

## ii
VASP calculation (GGA-PBE) on a relaxed Ca2HRhSe crystal.

Summary:
Space-group type: No. 123

Lattice parameters (Å, degrees): 5.0738 5.0738 3.5569 90.00 90.00 90.00
Atoms (fractional coordinates):
H1 0.0000 0.0000 0.0000
Ca1 0.0000 0.5000 0.0000
Ca2 0.5000 0.0000 0.0000
Rh1 0.0000 0.0000 0.5000
Se1 0.5000 0.5000 0.5000

ii comes first in stability; the runner-up is 158 meV per atom higher.

## i
VASP calculation (GGA-PBE) on a relaxed Ca2ZnHRh crystal.

Summary:
Space-group type: No. 123

Lattice parameters (Å, degrees): 5.0160 5.0160 3.6360 90.00 90.00 90.00
Atoms (fractional coordinates):
H1 0.0000 0.0000 0.0000
Zn1 0.5000 0.5000 0.5000
Rh1 0.0000 0.0000 0.5000
Ca1 0.0000 0.5000 0.0000
Ca2 0.5000 0.0000 0.0000

## ii
VASP calculation (GGA-PBE) on a relaxed Ca2ZnHRh crystal.

Summary:
Space-group type: No. 11

Lattice parameters (Å, degrees): 4.2157 5.8745 8.5128 112.18 90.00 90.00
Atoms (fractional coordinates):
Ca1 0.7500 0.7840 0.5634
Ca2 0.7500 0.7815 0.0689
Ca3 0.2500 0.2160 0.4366
Ca4 0.2500 0.2185 0.9311
Zn1 0.2500 0.6226 0.7837
Zn2 0.7500 0.3774 0.2163
H1 0.2500 0.8678 0.9881
H2 0.7500 0.1322 0.0119
Rh1 0.2500 0.6303 0.2920
Rh2 0.7500 0.3697 0.7080

i comes first in stability; the runner-up is 36 meV per atom higher.

## i
VASP calculation (GGA-PBE) on a relaxed CaHRu2 crystal.

Summary:
Space-group type: No. 225

Lattice parameters (Å, degrees): 4.3964 4.3964 4.3964 60.00 60.00 60.00
Site moments in Bohr magnetons follow the coordinates.
Atoms (fractional coordinates):
Ru1 0.2500 0.2500 0.2500  1.10
Ru2 0.7500 0.7500 0.7500  1.10
Ca1 0.5000 0.5000 0.5000  0.00
H1 0.0000 0.0000 0.0000  0.01

## ii
VASP calculation (GGA-PBE) on a relaxed CaHRu2 crystal.

Summary:
Space-group type: No. 141

Lattice parameters (Å, degrees): 5.5950 5.5950 5.5911 59.98 59.98 90.00
Site moments in Bohr magnetons follow the coordinates.
Atoms (fractional coordinates):
Ru1 0.3750 0.1250 0.2500  0.51
Ru2 0.3750 0.6250 0.2500  0.45
Ru3 0.3750 0.6250 0.7500  0.43
Ru4 0.8750 0.6250 0.7500  0.37
Ca1 0.0000 0.0000 0.0000  -0.01
Ca2 0.7500 0.2500 0.5000  -0.01
H1 0.5000 0.5000 0.0000  0.00
H2 0.2500 0.7500 0.5000  0.00

ii comes first in stability; the runner-up is 1169 meV per atom higher.

## i
VASP calculation (GGA-PBE) on a relaxed Ca2HRu crystal.

Summary:
Space-group type: No. 122

Lattice parameters (Å, degrees): 6.6588 6.6588 5.9256 55.82 55.82 90.00
Site moments in Bohr magnetons follow the coordinates.
Atoms (fractional coordinates):
Ru1 0.0000 0.0000 0.0000  0.98
Ru2 0.7500 0.2500 0.5000  0.96
Ca1 0.5493 0.1250 0.2500  -0.02
Ca2 0.2007 0.6250 0.2500  -0.02
Ca3 0.3750 0.4507 0.7500  -0.02
Ca4 0.8750 0.7993 0.7500  -0.02
H1 0.5000 0.5000 0.0000  0.00
H2 0.2500 0.7500 0.5000  0.00

## ii
VASP calculation (GGA-PBE) on a relaxed Ca2HRu crystal.

Summary:
Space-group type: No. 225

Lattice parameters (Å, degrees): 4.8057 4.8057 4.8057 60.00 60.00 60.00
Atoms (fractional coordinates):
Ru1 0.5000 0.5000 0.5000
Ca1 0.2500 0.2500 0.2500
Ca2 0.7500 0.7500 0.7500
H1 0.0000 0.0000 0.0000

i comes first in stability; the runner-up is 159 meV per atom higher.